[1]
DFT (PBE) results for crystalline K2LiRe at its relaxed geometry.

Calculated values
Total DFT energy (no corrections): -12.428 eV for the cell shown

Unit cell a=2.7506 b=4.5642 c=9.7329 alpha=90.00 beta=94.33 gamma=90.00
Fractional coordinates of all 4 atoms:
K 0.0000 0.0000 0.0000
K 0.1437 0.5000 0.5763
Li 0.0545 0.5000 0.2504
Re 0.5775 0.0000 0.3296

[2]
DFT (PBE) results for crystalline K2LiRe at its relaxed geometry.

Calculated values
Total DFT energy (no corrections): -24.414 eV for the cell shown

Unit cell a=13.1873 b=2.7382 c=6.5404 alpha=90.00 beta=105.51 gamma=90.00
Fractional coordinates of all 8 atoms:
K 0.0000 0.0000 0.0000
K 0.1995 0.0000 0.6040
K 0.5000 0.5000 0.0000
K 0.6995 0.5000 0.6040
Li 0.2930 0.5000 0.1901
Li 0.7930 0.0000 0.1901
Re 0.4389 0.0000 0.4712
Re 0.9389 0.5000 0.4712

[3]
DFT (PBE) results for crystalline KLi2Re at its relaxed geometry.

Calculated values
Total DFT energy (no corrections): -28.046 eV for the cell shown

Unit cell a=7.4677 b=7.5549 c=2.5909 alpha=90.00 beta=90.00 gamma=90.00
Fractional coordinates of all 8 atoms:
K 0.0000 0.0000 0.0000
K 0.5000 0.5000 0.0000
Li 0.2500 0.2500 0.5000
Li 0.2500 0.7500 0.5000
Li 0.7500 0.2500 0.5000
Li 0.7500 0.7500 0.5000
Re 0.0000 0.5000 0.0000
Re 0.5000 0.0000 0.0000

Number 1: magnetic moment 1.35 Bohr magnetons per cell, ΔE_f 1.03 eV per atom. Number 2: magnetic moment 2.19 Bohr magnetons per cell, ΔE_f 1.09 eV per atom. Number 3: magnetic moment 0.00 Bohr magnetons per cell, ΔE_f 0.84 eV per atom.